VASP calculation (PBE-GGA) on a geometry-optimized TiHg2F8 structure.

a = 6.066 Å, b = 6.066 Å, c = 4.704 Å
α = 103.52°, β = 103.52°, γ = 76.93°
Sites, in units of the cell vectors:
Ti: 0.000 0.000 0.000
Hg: 0.343 0.343 0.648
Hg: 0.657 0.657 0.352
F: 0.052 0.702 0.758
F: 0.126 0.126 0.757
F: 0.298 0.948 0.242
F: 0.408 0.408 0.206
F: 0.592 0.592 0.794
F: 0.702 0.052 0.758
F: 0.874 0.874 0.243
F: 0.948 0.298 0.242

## Properties
size of the total moment = 0.000 μB/atom
formation energy without anion corrections = -2305 meV/atom
SG = C2/m
mass density = 6.20 g/cm3
energy = -48.8 eV for the cell shown